# 1
## BeZn2Cu (GGA-PBE)

Data for crystalline BeZn2Cu at its relaxed geometry.

Calculated values
**M_tot**: 0.00 μB per formula unit

abc: 3.702 3.702 7.114
angles: 90.00 90.00 90.00
Space group I4/mmm (No. 139)
One atom of each set of equivalent atoms:
Be1 0.000 0.000 0.000 x2
Zn1 0.000 0.500 0.250 x4
Cu1 0.000 0.000 0.500 x2

=====

# 2
## BeZnCu2 (GGA-PBE)

Data for crystalline BeZnCu2 at its relaxed geometry.

Calculated values
**M_tot**: 0.00 μB per formula unit

abc: 2.906 4.039 7.838
angles: 90.00 90.00 90.00
Space group Immm (No. 71)
One atom of each set of equivalent atoms:
Be1 0.000 0.000 0.000 x2
Zn1 0.000 0.000 0.500 x2
Cu1 0.000 0.500 0.272 x4

=====

# 3
## BeZn3Cu6 (GGA-PBE)

Data for crystalline BeZn3Cu6 at its relaxed geometry.

Calculated values
**M_tot**: 0.00 μB per formula unit

abc: 9.471 2.583 10.687
angles: 90.00 108.74 90.00
Space group P2_1/m (No. 11)
One atom of each set of equivalent atoms:
Be1 0.074 0.250 0.188 x2
Zn1 0.013 0.250 0.390 x2
Zn2 0.372 0.250 0.001 x2
Zn3 0.475 0.250 0.603 x2
Cu1 0.127 0.750 0.021 x2
Cu2 0.139 0.250 0.812 x2
Cu3 0.218 0.250 0.602 x2
Cu4 0.250 0.750 0.395 x2
Cu5 0.322 0.250 0.216 x2
Cu6 0.395 0.750 0.794 x2

=====

# 4
## BeZnCu2 (GGA-PBE)

Data for crystalline BeZnCu2 at its relaxed geometry.

Calculated values
**M_tot**: 0.00 μB per formula unit

abc: 8.763 2.735 4.119
angles: 90.00 111.09 90.00
Space group Cm (No. 8)
One atom of each set of equivalent atoms:
Be1 0.000 0.000 0.000 x2
Zn1 0.258 0.000 0.724 x2
Cu1 0.227 0.500 0.197 x2
Cu2 0.493 0.000 0.485 x2

=====

# 5
## Be2ZnCu4 (GGA-PBE)

Data for crystalline Be2ZnCu4 at its relaxed geometry.

Calculated values
**M_tot**: 0.00 μB per formula unit

abc: 3.9778 3.9778 17.0766
angles: 90.00 90.00 120.00
Space group R-3m (No. 166, hexagonal axes)
One atom of each set of equivalent atoms:
Be1 0.0000 0.0000 0.2198 x6
Zn1 0.0000 0.0000 0.5000 x3
Cu1 0.0000 0.0000 0.0801 x6
Cu2 0.0000 0.0000 0.3554 x6

=====

# 6
## BeZn2Cu8 (GGA-PBE)

Data for crystalline BeZn2Cu8 at its relaxed geometry.

Calculated values
**M_tot**: 0.00 μB per formula unit

abc: 13.005 3.737 5.591
angles: 90.00 103.97 90.00
Space group C2/m (No. 12)
One atom of each set of equivalent atoms:
Be1 0.000 0.000 0.000 x2
Zn1 0.140 0.500 0.181 x4
Cu1 0.042 0.500 0.735 x4
Cu2 0.088 0.000 0.442 x4
Cu3 0.175 0.000 0.905 x4
Cu4 0.224 0.500 0.637 x4

=====

Going through the records in order, we get density of states at the Fermi level values of 1.881, 2.159, 5.939, 1.005, 5.374, 7.473 states/eV per cell.
Going through the records in order, we get energy relative to the elements values of 0.0539, -0.0179, -0.0116, -0.0290, 0.0034, -0.0256 eV/atom.